## SrH2 (PBE)

Data for a geometry-optimized SrH2 structure.

CIF file:
```
data_SrH2
_chemical_formula_sum 'Sr2 H4'
_cell_length_a 3.798
_cell_length_b 3.798
_cell_length_c 6.214
_cell_angle_alpha 90.00
_cell_angle_beta 90.00
_cell_angle_gamma 90.00
_space_group_name_H-M_alt 'P 1'
_space_group_IT_number 1
loop_
_space_group_symop_operation_xyz
'x,y,z'
loop_
_atom_site_label
_atom_site_type_symbol
_atom_site_fract_x
_atom_site_fract_y
_atom_site_fract_z
H1 H 0.000 0.000 0.500
H2 H 0.500 0.500 0.500
H3 H 0.500 0.000 0.857
H4 H 0.000 0.500 0.143
Sr1 Sr 0.500 0.000 0.266
Sr2 Sr 0.000 0.500 0.734
```

Calculated values
As for the density of states at the Fermi level: 0.000 states/eV per atom. The energy is -0.245 Ry/atom. Its spin magnetization is 0.0 μB/cell. The space group is P4/nmm, No. 129.